Record 1
Below is YGa2GeSb at its PBEsol-relaxed geometry, with properties calculated at the SCAN level.

Unit cell a=4.7466 b=4.7466 c=5.5739 alpha=90.00 beta=90.00 gamma=90.00
Last column: nearest neighbours and their distance in Å.
Fractional coordinates of all 5 atoms:
Y1 0.5000 0.5000 0.5000  4 Sb 3.36, 8 Ga 3.66
Sb1 0.0000 0.0000 0.5000  2 Ge 2.79
Ge1 0.0000 0.0000 0.0000  4 Ga 2.37
Ga1 0.0000 0.5000 0.0000  2 Ge 2.37
Ga2 0.5000 0.0000 0.0000  2 Ge 2.37

Calculated values
- space group = P4/mmm, No. 123
- energy relative to the elements, uncorrected (eV per atom) = 0.12
- magnetization (μB per cell) = 0.00
- uncorrected energy (eV per atom) = -23.258
- DOS(E_F) (states/eV/f.u.) = 2.33
- calculated density (g cm⁻³) = 5.590


Record 2
Below is ScGa2Ge2 at its PBEsol-relaxed geometry, with properties calculated at the SCAN level.

Unit cell a=3.7327 b=3.7327 c=7.2354 alpha=104.95 beta=104.95 gamma=90.00
Last column: nearest neighbours and their distance in Å.
Fractional coordinates of all 5 atoms:
Ga1 0.7500 0.2500 0.5000  4 Ga 2.64, 4 Ge 2.81
Ga2 0.2500 0.7500 0.5000  4 Ga 2.64, 4 Ge 2.81
Sc1 0.0000 0.0000 0.0000  8 Ge 2.93
Ge1 0.5941 0.5941 0.1881  1 Ge 2.53, 4 Ga 2.81
Ge2 0.4059 0.4059 0.8119  1 Ge 2.53, 4 Ga 2.81

Calculated values
- space group = I4/mmm, No. 139
- formation enthalpy at 0 K (eV/atom) = -0.140
- magnetization (μB per cell) = 0.00
- uncorrected energy (eV per atom) = -17.162
- DOS(E_F) (states/eV/f.u.) = 2.35
- calculated density (g cm⁻³) = 5.832


Record 3
Below is GaSnGe2 at its PBEsol-relaxed geometry, with properties calculated at the SCAN level.

Unit cell a=5.8723 b=5.8723 c=7.2328 alpha=113.95 beta=113.95 gamma=90.00
Last column: nearest neighbours and their distance in Å.
Fractional coordinates of all 8 atoms:
Ga1 0.7500 0.2500 0.5000  4 Ge 2.46
Ge1 0.6250 0.5982 0.7500  2 Ga 2.46, 2 Sn 2.64
Ga2 0.5000 0.5000 0.0000  4 Ge 2.46
Ge2 0.1250 0.1518 0.7500  2 Ga 2.46, 2 Sn 2.64
Ge3 0.8482 0.3750 0.2500  2 Ga 2.46, 2 Sn 2.64
Ge4 0.4018 0.8750 0.2500  2 Ga 2.46, 2 Sn 2.64
Sn1 0.0000 0.0000 0.0000  4 Ge 2.64
Sn2 0.2500 0.7500 0.5000  4 Ge 2.64

Calculated values
- space group = I-42d, No. 122
- formation enthalpy at 0 K (eV/atom) = 0.103
- magnetization (μB per cell) = 0.00
- uncorrected energy (eV per atom) = -22.508
- DOS(E_F) (states/eV/f.u.) = 2.01
- calculated density (g cm⁻³) = 5.427


Repeat the first record exactly.
Below is YGa2GeSb at its PBEsol-relaxed geometry, with properties calculated at the SCAN level.

Unit cell a=4.7466 b=4.7466 c=5.5739 alpha=90.00 beta=90.00 gamma=90.00
Last column: nearest neighbours and their distance in Å.
Fractional coordinates of all 5 atoms:
Y1 0.5000 0.5000 0.5000  4 Sb 3.36, 8 Ga 3.66
Sb1 0.0000 0.0000 0.5000  2 Ge 2.79
Ge1 0.0000 0.0000 0.0000  4 Ga 2.37
Ga1 0.0000 0.5000 0.0000  2 Ge 2.37
Ga2 0.5000 0.0000 0.0000  2 Ge 2.37

Calculated values
- space group = P4/mmm, No. 123
- energy relative to the elements, uncorrected (eV per atom) = 0.12
- magnetization (μB per cell) = 0.00
- uncorrected energy (eV per atom) = -23.258
- DOS(E_F) (states/eV/f.u.) = 2.33
- calculated density (g cm⁻³) = 5.590